(1)
YAs2Os PBEsol optimized geometry; crystal system = tetragonal; polymorph energy (0 for the lowest one) = 0.048 eV/atom; energy of formation = -21 kJ per mole of atoms; SG = P4/mmm, No. 123
1.0
3.2494 0.0000 0.0000
0.0000 4.6173 0.0000
0.0000 0.0000 4.6173
Y Os As
1 1 2
Cartesian
1.6247 0.0000 0.0000
1.6247 2.3086 2.3086
0.0000 2.3086 0.0000
0.0000 0.0000 2.3086

(2)
NbRh PBEsol optimized geometry; crystal system = monoclinic; energy of formation = -37 kJ per mole of atoms; SG = P2/m, No. 10
1.0
-1.9631 1.8721 -0.7828
-1.9910 -3.3100 -2.9230
-3.3007 -0.9128 6.0946
Rh Nb
3 3
Cartesian
-1.9771 -0.7189 -1.8529
-2.5927 -0.2207 0.8827
-4.6621 -2.1299 1.5061
0.0000 0.0000 0.0000
-2.5945 -2.7817 -0.1461
-2.6971 -1.4410 3.3176

(3)
Pr5Si3N9 PBEsol optimized geometry; E_form (uncorrected) = -2359 kJ/mol of formula units; crystal system = orthorhombic; SG = Cmce, No. 64
1.0
-7.2294 0.2772 -2.6423
1.1792 -7.1964 -2.4788
-5.2803 -5.6380 13.8559
N Si Pr
36 12 20
Cartesian
-8.8155 -7.5062 7.0393
-5.2023 0.0921 -1.9182
-5.5677 -5.6968 -1.6572
-6.1282 -12.6493 10.6530
-2.8616 -9.2855 5.1179
-7.2994 -5.7723 8.3226
-5.2284 -8.2834 3.6912
-8.1374 -2.9433 0.0732
-2.1510 -4.7516 -1.8476
-9.1796 -7.8055 10.5824
-6.6213 -1.2095 1.3565
-8.6470 -4.8978 6.0246
-7.7080 -6.1102 3.6843
-4.0311 -6.7848 0.4122
-2.7000 -2.4172 0.7702
-8.4689 -3.2716 3.6169
-2.6835 -7.6593 2.7102
-2.5150 -5.0510 1.6955
-5.7852 -10.0681 9.6292
-10.1095 -5.3887 8.4156
-6.8082 -1.7443 -3.2774
-5.4172 -8.6045 7.2169
-3.5648 -3.3286 3.5856
-7.7658 -9.2286 5.1492
-5.5453 -2.4891 -0.8943
-5.9134 -3.9527 1.5179
-6.1021 -4.2737 5.0436
-3.1931 -9.6138 8.6616
-4.5224 -10.8128 12.0122
-1.2211 -7.1684 0.3192
-8.6305 -10.1400 7.9646
-6.7473 -6.9681 0.8918
-4.7092 -11.3476 7.3783
-3.6226 -6.4470 5.0505
-4.5833 -5.5890 7.8430
-5.7628 -6.8604 10.3920
-2.5585 -6.7101 1.2801
-5.7666 -5.6971 9.1059
-6.0350 -10.9468 11.1115
-6.5042 -2.6971 0.5195
-3.5589 -7.9820 4.1804
-8.7917 -9.1567 6.5454
-4.8264 -9.8600 8.2153
-2.5388 -3.4004 2.1894
-5.2955 -1.6103 -2.3767
-5.5639 -6.8600 -0.3711
-8.7720 -5.8470 7.4547
-7.7716 -4.5752 4.5544
-10.6465 -3.5694 6.5920
-7.4541 -8.3243 2.8533
-3.8764 -4.2328 5.8815
-4.2614 -4.8734 -3.6070
-1.7888 -2.0457 -1.5141
-3.0405 -7.3767 7.2941
-11.0485 -7.8943 8.3663
-8.2900 -5.1804 1.4407
-0.2820 -4.6629 0.3685
-5.5840 -10.2855 5.1413
-8.5050 -4.9855 10.5192
-7.3260 -8.2499 8.9930
-7.7532 -0.4097 -1.0953
-2.8255 -7.5717 -1.7844
-0.6840 -8.9877 2.1428
-4.0045 -4.3072 -0.2582
-5.0110 -5.7076 2.8229
-5.7466 -2.2716 3.5936
-6.3196 -6.8495 5.9119
-3.5773 -12.1474 9.8301

(4)
K2BaCa PBEsol optimized geometry; crystal system = trigonal; polymorph energy (0 for the lowest one) = 0.061 eV/atom; energy of formation = 14 kJ per mole of atoms; SG = R-3m, No. 166
1.0
-0.1531 3.8722 1.6743
-2.1549 3.0602 -1.9525
-12.8422 -1.4077 7.4033
Ca K Ba
1 2 1
Cartesian
0.0000 0.0000 0.0000
-3.6650 1.4189 1.7052
-11.4852 4.1057 5.4199
-7.5751 2.7623 3.5625

(5)
Mn2IrOs PBEsol optimized geometry; crystal system = orthorhombic; polymorph energy (0 for the lowest one) = 0.349 eV/atom; energy of formation = 28 kJ per mole of atoms; SG = Cmmm, No. 65
1.0
-0.9261 -2.4619 0.2809
2.2144 0.5296 1.3466
-4.6357 2.5013 6.6392
Ir Os Mn
1 1 2
Cartesian
0.6442 -0.9661 0.8138
-1.6737 0.2845 4.1334
-3.4699 1.8723 4.9696
-1.1658 0.6290 1.6696

(6)
Li2ZnSb PBEsol optimized geometry; E_form (uncorrected) = -126 kJ/mol of formula units; crystal system = tetragonal; SG = I-4m2, No. 119
1.0
-4.1548 -0.0451 -0.5060
0.5079 -0.4507 -4.1303
1.8140 -3.7108 2.7490
Li Zn Sb
2 1 1
Cartesian
0.0000 0.0000 0.0000
0.2492 -2.2047 -1.8497
-2.0822 -2.0019 -0.0376
-1.8235 -0.2479 -2.3181

(7)
NbCr2Os PBEsol optimized geometry; crystal system = cubic; energy of formation = 6 kJ per mole of atoms; SG = Fm-3m, No. 225
1.0
4.2370 0.0000 0.0000
2.1185 3.6693 0.0000
2.1185 1.2231 3.4595
Cr Nb Os
2 1 1
Cartesian
6.3555 3.6693 2.5946
2.1185 1.2231 0.8649
0.0000 0.0000 0.0000
4.2370 2.4462 1.7297

(8)
BaLi2As PBEsol optimized geometry; crystal system = monoclinic; energy of formation = -58 kJ per mole of atoms; SG = Pm, No. 6
1.0
4.2836 0.0000 -0.0691
0.0000 4.3145 0.0000
-2.0195 0.0000 6.2331
As Li Ba
1 2 1
Cartesian
1.9252 0.0000 2.6379
-0.2409 0.0000 1.2056
1.9062 2.1572 1.3742
-0.1944 2.1572 4.0283

(9)
TlPt3C PBEsol optimized geometry; crystal system = cubic; energy of formation = 42 kJ per mole of atoms; SG = Pm-3m, No. 221
1.0
4.2281 0.0000 0.0000
0.0000 4.2281 0.0000
0.0000 0.0000 4.2281
Pt C Tl
3 1 1
Cartesian
0.0000 2.1141 0.0000
2.1141 0.0000 0.0000
0.0000 0.0000 2.1141
0.0000 0.0000 0.0000
2.1141 2.1141 2.1141

(10)
Zr2TlTeSe PBEsol optimized geometry; E_form (uncorrected) = 518 kJ/mol of formula units; crystal system = tetragonal; SG = P4/mmm, No. 123
1.0
5.2961 0.0000 0.0000
0.0000 5.4205 0.0000
0.0000 0.0000 5.4205
Zr Te Se Tl
2 1 1 1
Cartesian
0.0000 0.0000 2.7103
0.0000 2.7103 0.0000
2.6481 0.0000 0.0000
2.6481 2.7103 2.7103
0.0000 0.0000 0.0000

(11)
Ba2H2Se PBEsol optimized geometry; crystal system = tetragonal; SG = I4/mmm, No. 139
1.0
4.1387 0.0000 0.0000
0.0000 4.1387 0.0000
-2.0694 -2.0694 6.8275
H Ba Se
2 2 1
Cartesian
0.0000 2.0694 3.4138
2.0694 0.0000 3.4138
2.0694 2.0694 1.8225
0.0000 0.0000 5.0050
0.0000 0.0000 0.0000

(12)
Be2CrIr PBEsol optimized geometry; crystal system = tetragonal; energy of formation = -15 kJ per mole of atoms; SG = P4/mmm, No. 123
1.0
2.8233 0.0000 0.0000
0.0000 3.8535 0.0000
0.0000 0.0000 3.8535
Cr Be Ir
1 2 1
Cartesian
1.4116 1.9268 1.9268
0.0000 1.9268 0.0000
0.0000 0.0000 1.9268
1.4116 0.0000 0.0000

Summary of raw total energy in eV/atom
-7.533, -9.862, -8.491, -1.489, -10.105, -2.844, -10.816, -3.401, -6.197, -4.564, -4.029, -7.168
(order as listed above)